No. 1
Computed, not measured: a relaxed Mg3Cr5O12 crystal at the PBE with a Hubbard U level of DFT.

abc: 12.089 12.089 12.089
angles: 90.00 90.00 90.00
Space group Ia-3d (No. 230)
Unique sites:
Mg (0.000, 0.250, 0.125)
Cr (0.000, 0.000, 0.000)
Cr (0.000, 0.250, 0.375)
O (0.027, 0.057, 0.653)


No. 2
Computed, not measured: a relaxed MgCr2O5 crystal at the PBE with a Hubbard U level of DFT.

abc: 3.658 10.135 11.350
angles: 90.00 90.00 90.00
Space group Cmcm (No. 63)
Unique sites:
Mg (0.000, 0.099, 0.250)
Cr (0.000, 0.213, 0.598)
O (0.000, 0.051, 0.635)
O (0.000, 0.225, 0.077)
O (0.000, 0.306, 0.750)


No. 3
Computed, not measured: a relaxed Mg3CrO crystal at the PBE with a Hubbard U level of DFT.

abc: 4.315 4.315 4.315
angles: 90.00 90.00 90.00
Space group Pm-3m (No. 221)
Unique sites:
Mg (0.000, 0.000, 0.500)
Cr (0.500, 0.500, 0.500)
O (0.000, 0.000, 0.000)


No. 4
Computed, not measured: a relaxed MgCr4O8 crystal at the PBE with a Hubbard U level of DFT.

abc: 14.257 2.980 9.372
angles: 90.00 130.88 90.00
Space group Cm (No. 8)
Unique sites:
Mg (0.000, 0.000, 0.000)
Cr (0.009, 0.500, 0.362)
Cr (0.015, 0.000, 0.701)
Cr (0.301, 0.000, 0.634)
Cr (0.306, 0.500, 0.990)
O (0.001, 0.500, 0.847)
O (0.024, 0.500, 0.580)
O (0.123, 0.000, 0.442)
O (0.199, 0.000, 0.913)
O (0.308, 0.500, 0.786)
O (0.333, 0.500, 0.536)
O (0.388, 0.500, 0.247)
O (0.452, 0.000, 0.098)


No. 5
Computed, not measured: a relaxed Mg3CrO crystal at the PBE with a Hubbard U level of DFT.

abc: 5.228 5.228 5.228
angles: 90.00 90.00 90.00
Space group Pm-3m (No. 221)
Unique sites:
Mg (0.000, 0.000, 0.500)
Cr (0.000, 0.000, 0.000)
O (0.500, 0.500, 0.500)


No. 6
Computed, not measured: a relaxed MgCrO2 crystal at the PBE with a Hubbard U level of DFT.

abc: 3.0707 3.0707 17.8683
angles: 90.00 90.00 120.00
Space group R-3m (No. 166, hexagonal axes)
Unique sites:
Mg (0.0000, 0.0000, 0.0000)
Cr (0.0000, 0.0000, 0.5000)
O (0.0000, 0.0000, 0.1100)


No. 7
Computed, not measured: a relaxed MgCrO2 crystal at the PBE with a Hubbard U level of DFT.

abc: 2.967 8.521 8.568
angles: 85.53 80.07 79.98
Space group P-1 (No. 2)
Unique sites:
Mg (0.077, 0.222, 0.123)
Mg (0.348, 0.578, 0.224)
Cr (0.211, 0.896, 0.181)
Cr (0.371, 0.314, 0.443)
O (0.085, 0.599, 0.732)
O (0.165, 0.279, 0.892)
O (0.186, 0.723, 0.405)
O (0.374, 0.929, 0.824)


No. 8
Computed, not measured: a relaxed Mg3CrO4 crystal at the PBE with a Hubbard U level of DFT.

abc: 4.310 4.310 4.310
angles: 90.00 90.00 90.00
Space group Pm-3m (No. 221)
Unique sites:
Mg (0.000, 0.000, 0.500)
Cr (0.500, 0.500, 0.500)
O (0.000, 0.000, 0.000)
O (0.000, 0.500, 0.500)


Number 1: electronic total energy -1120.184 eV for the cell shown. Number 2: electronic total energy -220.997 eV for the cell shown. Number 3: electronic total energy -18.669 eV for the cell shown. Number 4: electronic total energy -190.250 eV for the cell shown. Number 5: electronic total energy -12.804 eV for the cell shown. Number 6: electronic total energy -77.445 eV for the cell shown. Number 7: electronic total energy -107.413 eV for the cell shown. Number 8: electronic total energy -50.965 eV for the cell shown.